# La2Tl5I12

A geometry-optimized La2Tl5I12 structure (GGA-PBE, the Alexandria database).

It has space group C2/m (No. 12), with a = 19.1073 Å, b = 9.2570 Å, c = 11.1414 Å, α = 90.00°, β = 109.54° and γ = 90.00°. The inequivalent atoms are La at (0.0000, 0.2458, 0.0000), Tl at (0.0000, 0.5000, 0.5000), Tl at (0.1837, 0.0000, 0.8130), Tl at (0.2226, 0.0000, 0.3744), I at (0.0023, 0.5000, 0.8079), I at (0.0065, 0.0000, 0.2079), I at (0.1304, 0.2571, 0.5589) and I at (0.1724, 0.2312, 0.0953).

The raw formation energy comes out at -933 meV per atom.

***

# LaTlI4

A geometry-optimized LaTlI4 structure (GGA-PBE, the Alexandria database).

It has space group Cmmm (No. 65), with a = 11.1636 Å, b = 11.5534 Å, c = 4.8784 Å, α = 90.00°, β = 90.00° and γ = 90.00°. The inequivalent atoms are La at (0.0000, 0.0000, 0.0000), Tl at (0.0000, 0.5000, 0.5000), I at (0.0000, 0.1838, 0.5000) and I at (0.2207, 0.5000, 0.0000).

The raw formation energy comes out at -1204 meV per atom.

***

N(E_F) (computed, states/eV/f.u.): 6.1; 0.0